Density functional theory data (GGA+U) for a relaxed structure of Ca2MoF.

Summary:
raw total energy: -64.91 eV for the cell shown

Cell lengths 7.257, 7.257, 8.321 Å; angles 90.00, 90.00, 90.00 degrees
Space group I-42d (No. 122)
Asymmetric unit:
Ca 0.136 0.750 0.125
Mo 0.000 0.000 0.500
F 0.000 0.000 0.000